(1)
First-principles (GGA-PBE) data for MgSiS2N after structural relaxation, as listed in Alexandria.

a = 4.8243 Å, b = 4.8243 Å, c = 3.3203 Å
α = 90.00°, β = 90.00°, γ = 90.00°
Positions (direct):
Mg: 0.0000 0.0000 0.0000
Si: 0.5000 0.5000 0.5000
S: 0.0000 0.5000 0.5000
S: 0.5000 0.0000 0.5000
N: 0.5000 0.5000 0.0000

mass density: 2.8 g/cm³
DFT total energy: -24.4 eV per cell
density of states at the Fermi level: 3.06 states/eV per cell

(2)
First-principles (GGA-PBE) data for TlIn3Sn4 after structural relaxation, as listed in Alexandria.

a = 8.9074 Å, b = 8.9074 Å, c = 8.8707 Å
α = 117.17°, β = 117.17°, γ = 21.55°
Positions (direct):
Tl: 0.0000 0.0000 0.0000
In: 0.2978 0.2978 0.8125
In: 0.5000 0.5000 0.5000
In: 0.7022 0.7022 0.1875
Sn: 0.1277 0.1277 0.8289
Sn: 0.1454 0.1454 0.4321
Sn: 0.8546 0.8546 0.5679
Sn: 0.8723 0.8723 0.1711

mass density: 7.4 g/cm³
energy of formation: 0.07 eV/atom
DFT total energy: -26.0 eV per cell
density of states at the Fermi level: 3.90 states/eV per cell

(3)
First-principles (GGA-PBE) data for Rb2AgTeSe4 after structural relaxation, as listed in Alexandria.

a = 6.9793 Å, b = 6.9793 Å, c = 6.9793 Å
α = 105.51°, β = 105.51°, γ = 117.72°
Positions (direct):
Rb: 0.0000 0.5000 0.5000
Rb: 0.5000 0.0000 0.5000
Ag: 0.0000 0.0000 0.0000
Te: 0.5000 0.5000 0.0000
Se: 0.0981 0.0981 0.6622
Se: 0.4359 0.4359 0.3378
Se: 0.5641 0.9019 0.0000
Se: 0.9019 0.5641 0.0000

mass density: 4.7 g/cm³
DFT total energy: -25.2 eV per cell
density of states at the Fermi level: 4.61 states/eV per cell

(4)
First-principles (GGA-PBE) data for LiY2Ag after structural relaxation, as listed in Alexandria.

a = 5.1486 Å, b = 5.1486 Å, c = 3.6947 Å
α = 90.00°, β = 90.00°, γ = 90.00°
Positions (direct):
Li: 0.0000 0.0000 0.0000
Y: 0.0000 0.5000 0.5000
Y: 0.5000 0.0000 0.5000
Ag: 0.5000 0.5000 0.0000

mass density: 5.0 g/cm³
energy of formation: -0.12 eV/atom
DFT total energy: -18.2 eV per cell
density of states at the Fermi level: 3.19 states/eV per cell

(5)
First-principles (GGA-PBE) data for Gd2IrO after structural relaxation, as listed in Alexandria.

a = 6.9429 Å, b = 6.9429 Å, c = 6.9429 Å
α = 30.85°, β = 30.85°, γ = 30.85°
Positions (direct):
Gd: 0.2411 0.2411 0.2411
Gd: 0.7589 0.7589 0.7589
Ir: 0.0000 0.0000 0.0000
O: 0.5000 0.5000 0.5000

mass density: 11.1 g/cm³
DFT total energy: -48.3 eV per cell
density of states at the Fermi level: 1.88 states/eV per cell

(6)
First-principles (GGA-PBE) data for PmTlPb2 after structural relaxation, as listed in Alexandria.

a = 4.8375 Å, b = 4.8375 Å, c = 4.9759 Å
α = 90.00°, β = 90.00°, γ = 90.00°
Positions (direct):
Pm: 0.0000 0.0000 0.0000
Tl: 0.5000 0.5000 0.0000
Pb: 0.0000 0.5000 0.5000
Pb: 0.5000 0.0000 0.5000

mass density: 10.9 g/cm³
energy of formation: -0.35 eV/atom
DFT total energy: -15.9 eV per cell
density of states at the Fermi level: 2.16 states/eV per cell